# 1
Ba3U2As2O5 after structural relaxation. Source: Alexandria, functional GGA-PBE.

Computed properties:
total magnetic moment = 0.168 μB per atom
E = -182.66 eV for the cell shown
energy relative to the elements, uncorrected = -2408 meV per atom

```
data_Ba3U2As2O5
_space_group_name_H-M_alt 'I 4/m m m'
_space_group_IT_number 139
_space_group_name_Hall '-I 4 2'
_cell_length_a 4.489
_cell_length_b 4.489
_cell_length_c 26.520
_cell_angle_alpha 90.00
_cell_angle_beta 90.00
_cell_angle_gamma 90.00
loop_
_atom_site_label
_atom_site_fract_x
_atom_site_fract_y
_atom_site_fract_z
Ba1 0.000 0.000 0.000
Ba2 0.000 0.000 0.186
U1 0.000 0.000 0.418
As1 0.000 0.000 0.314
O1 0.000 0.000 0.500
O2 0.000 0.500 0.075
```

# 2
BaUAs2O8 after structural relaxation. Source: Alexandria, functional GGA-PBE.

Computed properties:
total magnetic moment = 0.167 μB per atom
E = -87.20 eV for the cell shown
energy relative to the elements, uncorrected = -2086 meV per atom

```
data_BaUAs2O8
_space_group_name_H-M_alt 'P -3'
_space_group_IT_number 147
_space_group_name_Hall '-P 3'
_cell_length_a 5.7067
_cell_length_b 5.7067
_cell_length_c 7.7983
_cell_angle_alpha 90.00
_cell_angle_beta 90.00
_cell_angle_gamma 120.00
loop_
_atom_site_label
_atom_site_fract_x
_atom_site_fract_y
_atom_site_fract_z
Ba1 0.0000 0.0000 0.0000
U1 0.0000 0.0000 0.5000
As1 0.3333 0.6667 0.7654
O1 0.1436 0.3383 0.6860
O2 0.3333 0.6667 0.9813
```

# 3
BaUAsO5 after structural relaxation. Source: Alexandria, functional GGA-PBE.

Computed properties:
total magnetic moment = 0.125 μB per atom
E = -251.11 eV for the cell shown
energy relative to the elements, uncorrected = -2516 meV per atom

```
data_BaUAsO5
_space_group_name_H-M_alt 'C 1 2/c 1'
_space_group_IT_number 15
_space_group_name_Hall '-C 2yc'
_cell_length_a 8.075
_cell_length_b 9.849
_cell_length_c 8.393
_cell_angle_alpha 90.00
_cell_angle_beta 116.50
_cell_angle_gamma 90.00
loop_
_atom_site_label
_atom_site_fract_x
_atom_site_fract_y
_atom_site_fract_z
Ba1 0.000 0.068 0.250
U1 0.250 0.250 0.000
As1 0.000 0.443 0.250
O1 0.000 0.221 0.750
O2 0.070 0.322 0.134
O3 0.212 0.054 0.059
```

# 4
Ba2UAs2O2 after structural relaxation. Source: Alexandria, functional GGA-PBE.

Computed properties:
total magnetic moment = 0.027 μB per atom
E = -94.75 eV for the cell shown
energy relative to the elements, uncorrected = -1861 meV per atom

```
data_Ba2UAs2O2
_space_group_name_H-M_alt 'I 4/m m m'
_space_group_IT_number 139
_space_group_name_Hall '-I 4 2'
_cell_length_a 4.531
_cell_length_b 4.531
_cell_length_c 16.792
_cell_angle_alpha 90.00
_cell_angle_beta 90.00
_cell_angle_gamma 90.00
loop_
_atom_site_label
_atom_site_fract_x
_atom_site_fract_y
_atom_site_fract_z
Ba1 0.000 0.000 0.138
U1 0.000 0.000 0.500
As1 0.000 0.000 0.338
O1 0.000 0.500 0.000
```

# 5
Ba4U8As2O33 after structural relaxation. Source: Alexandria, functional GGA-PBE.

Computed properties:
total magnetic moment = 0.000 μB per atom
E = -812.72 eV for the cell shown
energy relative to the elements, uncorrected = -2882 meV per atom

```
data_Ba4U8As2O33
_space_group_name_H-M_alt 'P m n 21'
_space_group_IT_number 31
_space_group_name_Hall 'P 2ac -2'
_cell_length_a 15.674
_cell_length_b 7.129
_cell_length_c 14.404
_cell_angle_alpha 90.00
_cell_angle_beta 90.00
_cell_angle_gamma 90.00
loop_
_atom_site_label
_atom_site_fract_x
_atom_site_fract_y
_atom_site_fract_z
Ba1 0.000 0.075 0.000
Ba2 0.000 0.918 0.479
Ba3 0.250 0.202 0.479
U1 0.000 0.497 0.736
U2 0.000 0.500 0.235
U3 0.125 0.998 0.737
U4 0.138 0.004 0.228
U5 0.232 0.504 0.235
As1 0.000 0.407 0.488
As2 0.000 0.590 0.983
O1 0.000 0.010 0.206
O2 0.000 0.194 0.720
O3 0.000 0.432 0.890
O4 0.000 0.440 0.081
O5 0.000 0.556 0.390
O6 0.000 0.564 0.581
O7 0.000 0.801 0.751
O8 0.087 0.268 0.490
O9 0.087 0.728 0.982
O10 0.099 0.681 0.221
O11 0.101 0.324 0.248
O12 0.122 0.497 0.736
O13 0.125 0.047 0.863
O14 0.126 0.948 0.610
O15 0.133 0.972 0.357
O16 0.151 0.038 0.100
O17 0.231 0.519 0.362
O18 0.233 0.490 0.108
O19 0.238 0.181 0.719
O20 0.238 0.814 0.756
```